A relaxed structure of Ca6PdAu2N, computed with GGA-PBE.

a b c (Å): 6.853 7.609 9.953
angles (deg): 90.00 86.67 90.00
Positions (direct):
Ca 0.202 0.166 0.449
Pd 0.000 0.500 0.500
Au 0.955 0.098 0.745
N 0.500 0.000 0.500
Ca 0.298 0.666 0.051
Ca 0.125 0.465 0.769
Au 0.455 0.402 0.245
Ca 0.798 0.834 0.551
Ca 0.625 0.035 0.269
Ca 0.702 0.334 0.949
Pd 0.500 0.000 0.000
Ca 0.347 0.711 0.441
Au 0.545 0.598 0.755
Ca 0.847 0.789 0.941
Au 0.045 0.902 0.255
Ca 0.375 0.965 0.731
Ca 0.153 0.211 0.059
N 0.000 0.500 0.000
Ca 0.875 0.535 0.231
Ca 0.653 0.289 0.559

Calculated total energy   -77.71 eV per cell
Crystal system   monoclinic
ρ   4.8 g/cm³